## Tm2PuScAs4 (PBE)

Data for a relaxed structure of Tm2PuScAs4.

The structure in CIF format:
```
data_Tm2PuScAs4
_symmetry_space_group_name_H-M 'P 1'
_symmetry_Int_Tables_number 1
_symmetry_space_group_name_Hall 'P 1'
_cell_length_a 6.9743
_cell_length_b 4.0487
_cell_length_c 6.9865
_cell_angle_alpha 90.00
_cell_angle_beta 109.44
_cell_angle_gamma 90.00
loop_
_atom_site_label
_atom_site_fract_x
_atom_site_fract_y
_atom_site_fract_z
Tm1 0.0000 0.0000 0.0000
Tm2 0.5000 0.5000 0.0000
Pu1 0.0000 0.5000 0.5000
Sc1 0.5000 0.0000 0.5000
As1 0.2553 0.0000 0.7476
As2 0.2579 0.5000 0.2567
As3 0.7421 0.5000 0.7433
As4 0.7447 0.0000 0.2524
```

Calculated values
The value obtained for the density is 8.27 g/cm3. As for the density of states at the Fermi level: 12.191 states/eV/cell. For the calculated volume, the calculation gives 186.03 Å³/cell. The value obtained for the electronic total energy is -58.8 eV for the cell shown. The formation energy comes out at -1328 meV per atom.